Below is a relaxed structure of Ac6Ru2PtBr2, with properties calculated at the PBE-GGA level.

Geometry as POSCAR:
```
Ac6Ru2PtBr2
1.0
7.5469 -0.0098 0.0652
-3.7386 6.5558 0.0652
-1.3649 -2.3461 8.1230
Ac Pt Br Ru
6 1 2 2
direct
0.2776 0.2776 0.3076 Ac
0.4114 0.0659 0.6964 Ac
0.0659 0.4114 0.6964 Ac
0.7224 0.7224 0.6924 Ac
0.9341 0.5886 0.3036 Ac
0.5886 0.9341 0.3036 Ac
0.0000 0.0000 0.5000 Pt
0.8329 0.1671 0.0000 Br
0.1671 0.8329 0.0000 Br
0.6708 0.3292 0.5000 Ru
0.3292 0.6708 0.5000 Ru
```

As for the uncorrected energy: -5.620 eV/atom.